1.
Computed, not measured: RbInTcOs2 after structural relaxation at the PBE-GGA level of DFT.

Cell and atoms, written as POSCAR:
```
RbInTcOs2
1.0
-3.679 0.962 2.942
-3.416 -1.604 -3.748
0.209 -4.482 1.727
Rb In Tc Os
1 1 1 2
Direct
0.500 0.500 0.500
0.000 0.500 0.000
0.000 0.000 0.000
0.500 0.000 0.000
0.000 0.000 0.500
```

## Properties
Formation energy, eV per atom: 1.4216
Symmetry: P4/mmm (123)
V, Å³ per atom: 24.59
Spin magnetization, μB per cell: 0.52
E, eV/atom: -5.88

***

2.
Computed, not measured: Te2IrPdN after structural relaxation at the PBE-GGA level of DFT.

Cell and atoms, written as POSCAR:
```
Te2IrPdN
1.0
5.359 0.000 0.000
0.000 5.359 0.000
0.000 0.000 3.601
Pd Te N Ir
1 2 1 1
Direct
0.000 0.000 0.000
0.000 0.500 0.000
0.500 0.000 0.000
0.000 0.000 0.500
0.500 0.500 0.500
```

## Properties
Uncorrected formation energy, kcal/mol of atoms: 24.58
Symmetry: P4/mmm (123)
V, Å³ per atom: 20.68
Distance to the lowest polymorph of the same formula, meV per atom: 688
Spin magnetization, μB per cell: 0.00
E, eV/atom: -4.67

***

3.
Computed, not measured: Sm3Tm2Tl4 after structural relaxation at the PBE-GGA level of DFT.

Cell and atoms, written as POSCAR:
```
Sm3Tm2Tl4
1.0
6.091 -0.097 -0.069
0.269 9.578 -0.191
0.269 2.905 9.128
Tm Sm Tl
4 6 8
Direct
0.868 0.606 0.840
0.368 0.840 0.606
0.632 0.160 0.394
0.132 0.394 0.160
0.750 0.391 0.609
0.089 0.011 0.229
0.411 0.771 0.989
0.589 0.229 0.011
0.911 0.989 0.771
0.250 0.609 0.391
0.870 0.789 0.523
0.130 0.211 0.477
0.630 0.477 0.211
0.430 0.105 0.742
0.370 0.523 0.789
0.570 0.895 0.258
0.070 0.258 0.895
0.930 0.742 0.105
```

## Properties
Formation energy, eV per atom: -0.2248
Symmetry: C2/c (15)
V, Å³ per atom: 29.79
Spin magnetization, μB per cell: 0.58
E, eV/atom: -3.84

***

4.
Computed, not measured: Tm2ThGa2 after structural relaxation at the PBE-GGA level of DFT.

Cell and atoms, written as POSCAR:
```
Tm2ThGa2
1.0
-1.098 -3.347 1.625
-1.319 -1.926 -4.858
11.962 -3.870 0.107
Th Ga Tm
2 4 4
Direct
0.750 0.309 0.768
0.250 0.691 0.232
0.250 0.795 0.660
0.750 0.205 0.340
0.750 0.644 0.033
0.250 0.356 0.967
0.750 0.741 0.469
0.250 0.259 0.531
0.750 0.156 0.108
0.250 0.844 0.892
```

## Properties
Formation energy, eV per atom: -0.2945
Symmetry: P2_1/m (11)
V, Å³ per atom: 26.06
Spin magnetization, μB per cell: 0.00
E, eV/atom: -4.78

***

5.
Computed, not measured: Rb4Cl3O after structural relaxation at the PBE-GGA level of DFT.

Cell and atoms, written as POSCAR:
```
Rb4Cl3O
1.0
3.001 5.479 -4.072
2.642 -6.767 -1.685
-7.306 -0.931 -1.164
O Rb Cl
1 4 3
Direct
0.000 0.000 0.000
0.000 0.136 0.670
0.535 0.864 0.864
0.000 0.670 0.136
0.465 0.330 0.330
0.500 0.750 0.250
0.500 0.250 0.750
0.000 0.500 0.500
```

## Properties
Uncorrected formation energy, kcal/mol of atoms: -35.15
Symmetry: I-42m (121)
V, Å³ per atom: 39.33
Spin magnetization, μB per cell: 1.00
E, eV/atom: -3.32

***

6.
Computed, not measured: FeSb3As after structural relaxation at the PBE-GGA level of DFT.

Cell and atoms, written as POSCAR:
```
FeSb3As
1.0
5.295 0.000 0.000
0.000 5.295 0.000
0.000 0.000 5.295
Sb As Fe
3 1 1
Direct
0.000 0.000 0.500
0.000 0.500 0.000
0.500 0.000 0.000
0.000 0.000 0.000
0.500 0.500 0.500
```

## Properties
Uncorrected formation energy, kcal/mol of atoms: 32.98
Symmetry: Pm-3m (221)
V, Å³ per atom: 29.69
Distance to the lowest polymorph of the same formula, meV per atom: 997
Spin magnetization, μB per cell: 0.09
E, eV/atom: -3.67